DFT (PBE) results for an optimized crystal structure of YTe.

Output
Formation energy from raw total energies, meV/atom: -795.3
Space group: P-3m1 (164)
E_tot, eV/cell: -22.4
Magnetization, μB per atom: 0.000

extended XYZ file:
```
4
Lattice="4.328 0.000 0.000 -2.164 3.749 0.000 0.000 0.000 10.184" Properties=species:S:1:pos:R:3 pbc="T T T"
Y 0.000 2.499 1.552
Y 2.164 1.250 8.631
Te 0.000 2.499 7.047
Te 2.164 1.250 3.137
```